A relaxed SbAuSeI2 crystal, computed with PBE-GGA.

POSCAR file:
```
SbAuSeI2
1.0
5.442 0.000 0.000
0.000 5.442 0.000
0.000 0.000 5.692
Sb Au Se I
1 1 1 2
Direct
0.000 0.000 0.000
0.000 0.000 0.500
0.500 0.500 0.000
0.000 0.500 0.500
0.500 0.000 0.500
```

Computed properties:
**Raw formation energy**: 0.59 eV per atom
**SG**: P4/mmm (123)
**DOS(E_F)**: 5.490 states/eV/cell

***

A relaxed SiSbAuI2 crystal, computed with PBE-GGA.

POSCAR file:
```
SiSbAuI2
1.0
5.531 0.000 0.000
0.000 5.531 0.000
0.000 0.000 5.534
Si Sb Au I
1 1 1 2
Direct
0.000 0.000 0.000
0.500 0.500 0.000
0.500 0.500 0.500
0.000 0.500 0.500
0.500 0.000 0.500
```

Computed properties:
**Raw formation energy**: 0.81 eV per atom
**SG**: P4/mmm (123)
**DOS(E_F)**: 4.958 states/eV/cell

***

A relaxed SiSbAuI2 crystal, computed with PBE-GGA.

POSCAR file:
```
SiSbAuI2
1.0
5.352 0.000 0.000
0.000 5.352 0.000
0.000 0.000 5.531
Si Sb Au I
1 1 1 2
Direct
0.000 0.000 0.000
0.000 0.000 0.500
0.500 0.500 0.500
0.000 0.500 0.000
0.500 0.000 0.000
```

Computed properties:
**Raw formation energy**: 0.66 eV per atom
**SG**: P4/mmm (123)
**DOS(E_F)**: 4.241 states/eV/cell

***

A relaxed SiSb2AuI crystal, computed with PBE-GGA.

POSCAR file:
```
SiSb2AuI
1.0
5.399 0.000 0.000
0.000 5.399 0.000
0.000 0.000 5.550
Si Sb Au I
1 2 1 1
Direct
0.000 0.000 0.000
0.000 0.500 0.500
0.500 0.000 0.500
0.500 0.500 0.500
0.500 0.500 0.000
```

Computed properties:
**Raw formation energy**: 0.93 eV per atom
**SG**: P4/mmm (123)
**DOS(E_F)**: 6.841 states/eV/cell

***

A relaxed SiSb2AuI crystal, computed with PBE-GGA.

POSCAR file:
```
SiSb2AuI
1.0
5.261 0.000 0.000
0.000 5.261 0.000
0.000 0.000 5.336
Si Sb Au I
1 2 1 1
Direct
0.000 0.000 0.000
0.000 0.500 0.000
0.500 0.000 0.000
0.500 0.500 0.500
0.000 0.000 0.500
```

Computed properties:
**Raw formation energy**: 0.75 eV per atom
**SG**: P4/mmm (123)
**DOS(E_F)**: 3.727 states/eV/cell

***

A relaxed SnSbAuI2 crystal, computed with PBE-GGA.

POSCAR file:
```
SnSbAuI2
1.0
5.571 0.000 0.000
0.000 5.571 0.000
0.000 0.000 5.574
Sn Sb Au I
1 1 1 2
Direct
0.000 0.000 0.000
0.500 0.500 0.000
0.500 0.500 0.500
0.000 0.500 0.500
0.500 0.000 0.500
```

Computed properties:
**Raw formation energy**: 0.36 eV per atom
**SG**: P4/mmm (123)
**DOS(E_F)**: 4.513 states/eV/cell

***

A relaxed SrSb2AuI crystal, computed with PBE-GGA.

POSCAR file:
```
SrSb2AuI
1.0
6.311 0.000 0.000
0.000 6.311 0.000
0.000 0.000 6.065
Sr Sb Au I
1 2 1 1
Direct
0.000 0.000 0.000
0.000 0.500 0.000
0.500 0.000 0.000
0.500 0.500 0.500
0.000 0.000 0.500
```

Computed properties:
**Raw formation energy**: 0.67 eV per atom
**SG**: P4/mmm (123)
**DOS(E_F)**: 5.849 states/eV/cell

***

A relaxed SrSb2AuI crystal, computed with PBE-GGA.

POSCAR file:
```
SrSb2AuI
1.0
5.426 0.000 0.000
0.000 5.426 0.000
0.000 0.000 5.896
Sr Sb Au I
1 2 1 1
Direct
0.000 0.000 0.000
0.000 0.500 0.500
0.500 0.000 0.500
0.500 0.500 0.500
0.500 0.500 0.000
```

Computed properties:
**Raw formation energy**: -0.12 eV per atom
**SG**: P4/mmm (123)
**DOS(E_F)**: 6.126 states/eV/cell